# 1
A geometry-optimized Y5Te4Pb structure, computed with PBE-GGA.

Calculated values
M_tot: 0.00 μB per cell
Excess energy over the best structure of this formula in the dataset: 17.1 meV per atom
Formation energy from raw total energies: -1.18 eV/atom
Volume: 29.90 Å³ per atom
Total energy: -0.4442 Ry per atom
Space-group type: I4/mmm (139)

Unit cell a=15.857 b=15.857 c=15.857 alpha=164.11 beta=164.11 gamma=22.55
Element x y z (fractional)
Y: 0.000 0.000 0.000
Y: 0.203 0.203 0.000
Y: 0.402 0.402 0.000
Y: 0.598 0.598 0.000
Y: 0.797 0.797 0.000
Te: 0.102 0.102 0.000
Te: 0.302 0.302 0.000
Te: 0.698 0.698 0.000
Te: 0.898 0.898 0.000
Pb: 0.500 0.500 0.000


# 2
A geometry-optimized YTePb structure, computed with PBE-GGA.

Calculated values
M_tot: 0.00 μB per cell
Formation energy from raw total energies: -0.48 eV/atom
Volume: 31.63 Å³ per atom
Total energy: -0.3615 Ry per atom
Space-group type: P-6m2 (187)

Unit cell a=5.164 b=5.164 c=4.108 alpha=90.00 beta=90.00 gamma=120.00
Element x y z (fractional)
Y: 0.000 0.000 0.000
Te: 0.333 0.667 0.000
Pb: 0.667 0.333 0.500


# 3
A geometry-optimized Y2TePb structure, computed with PBE-GGA.

Calculated values
M_tot: 0.00 μB per cell
Excess energy over the best structure of this formula in the dataset: 149.5 meV per atom
Formation energy from raw total energies: -0.84 eV/atom
Volume: 29.23 Å³ per atom
Total energy: -0.4251 Ry per atom
Space-group type: Amm2 (38)

Unit cell a=4.963 b=6.228 c=6.228 alpha=37.40 beta=90.00 gamma=90.00
Element x y z (fractional)
Y: 0.000 0.000 0.000
Y: 0.500 0.248 0.248
Te: 0.000 0.738 0.738
Pb: 0.500 0.511 0.511


# 4
A geometry-optimized Y2Te2Pb structure, computed with PBE-GGA.

Calculated values
M_tot: 0.00 μB per cell
Excess energy over the best structure of this formula in the dataset: 84.3 meV per atom
Formation energy from raw total energies: -0.84 eV/atom
Volume: 29.31 Å³ per atom
Total energy: -0.3987 Ry per atom
Space-group type: P4/mbm (127)

Unit cell a=8.788 b=8.788 c=3.795 alpha=90.00 beta=90.00 gamma=90.00
Element x y z (fractional)
Y: 0.154 0.346 0.000
Y: 0.346 0.846 0.000
Y: 0.654 0.154 0.000
Y: 0.846 0.654 0.000
Te: 0.141 0.641 0.500
Te: 0.359 0.141 0.500
Te: 0.641 0.859 0.500
Te: 0.859 0.359 0.500
Pb: 0.000 0.000 0.500
Pb: 0.500 0.500 0.500


# 5
A geometry-optimized Y2TePb structure, computed with PBE-GGA.

Calculated values
M_tot: 0.00 μB per cell
Excess energy over the best structure of this formula in the dataset: 241.9 meV per atom
Formation energy from raw total energies: -0.75 eV/atom
Volume: 28.84 Å³ per atom
Total energy: -0.4183 Ry per atom
Space-group type: Immm (71)

Unit cell a=5.577 b=5.577 c=5.577 alpha=129.66 beta=115.12 gamma=86.40
Element x y z (fractional)
Y: 0.248 0.248 0.000
Y: 0.752 0.752 0.000
Te: 0.000 0.500 0.500
Pb: 0.500 0.000 0.500


# 6
A geometry-optimized Y2TePb2 structure, computed with PBE-GGA.

Calculated values
M_tot: 0.00 μB per cell
Excess energy over the best structure of this formula in the dataset: 269.0 meV per atom
Formation energy from raw total energies: -0.41 eV/atom
Volume: 30.31 Å³ per atom
Total energy: -0.3752 Ry per atom
Space-group type: P4/mbm (127)

Unit cell a=8.502 b=8.502 c=4.193 alpha=90.00 beta=90.00 gamma=90.00
Element x y z (fractional)
Y: 0.182 0.318 0.000
Y: 0.318 0.818 0.000
Y: 0.682 0.182 0.000
Y: 0.818 0.682 0.000
Te: 0.000 0.000 0.500
Te: 0.500 0.500 0.500
Pb: 0.124 0.624 0.500
Pb: 0.376 0.124 0.500
Pb: 0.624 0.876 0.500
Pb: 0.876 0.376 0.500